[1]
First-principles (GGA-PBE) data for HfCuB2Sb after structural relaxation, as listed in Alexandria via LeMat-Bulk.

Cell lengths 4.4482, 4.4482, 5.5139 Å; angles 90.00, 90.00, 90.00 degrees
Fractional coordinates of all 5 atoms:
Hf1 0.0000 0.0000 0.0000
Cu1 0.5000 0.5000 0.5000
B1 0.0000 0.5000 0.0000
B2 0.5000 0.0000 0.0000
Sb1 0.0000 0.0000 0.5000

**Uncorrected energy**: -24.11 eV per cell
**Raw formation energy**: 1.483 eV/atom
**Crystal system**: tetragonal
**Density**: 5.9 g/cm³
**Total magnetization**: 0.00 Bohr magnetons per cell

---

[2]
First-principles (GGA-PBE) data for HfCu2BSe after structural relaxation, as listed in Alexandria via LeMat-Bulk.

Cell lengths 4.9061, 4.9061, 4.4587 Å; angles 90.00, 90.00, 90.00 degrees
Fractional coordinates of all 5 atoms:
Hf1 0.0000 0.0000 0.0000
Cu1 0.0000 0.5000 0.0000
Cu2 0.5000 0.0000 0.0000
B1 0.0000 0.0000 0.5000
Se1 0.5000 0.5000 0.5000

**Uncorrected energy**: -20.67 eV per cell
**Raw formation energy**: 1.527 eV/atom
**Crystal system**: tetragonal
**Density**: 6.1 g/cm³
**Total magnetization**: 0.00 Bohr magnetons per cell

---

[3]
First-principles (GGA-PBE) data for HfCuB2Te after structural relaxation, as listed in Alexandria via LeMat-Bulk.

Cell lengths 3.9327, 3.9327, 5.6566 Å; angles 90.00, 90.00, 90.00 degrees
Fractional coordinates of all 5 atoms:
Hf1 0.0000 0.0000 0.0000
Cu1 0.5000 0.5000 0.5000
B1 0.0000 0.5000 0.5000
B2 0.5000 0.0000 0.5000
Te1 0.5000 0.5000 0.0000

**Uncorrected energy**: -25.12 eV per cell
**Raw formation energy**: 1.084 eV/atom
**Crystal system**: tetragonal
**Density**: 7.4 g/cm³
**Total magnetization**: 0.00 Bohr magnetons per cell

---

[4]
First-principles (GGA-PBE) data for CuHgB3 after structural relaxation, as listed in Alexandria via LeMat-Bulk.

Cell lengths 4.3629, 4.3629, 4.3629 Å; angles 90.00, 90.00, 90.00 degrees
Fractional coordinates of all 5 atoms:
Cu1 0.0000 0.0000 0.0000
Hg1 0.5000 0.5000 0.5000
B1 0.0000 0.5000 0.5000
B2 0.5000 0.0000 0.5000
B3 0.5000 0.5000 0.0000

**Uncorrected energy**: -12.02 eV per cell
**Crystal system**: cubic
**Density**: 5.9 g/cm³
**Total magnetization**: 0.00 Bohr magnetons per cell
**Energy of formation from the pure elements**: 2.482 eV/atom

---

[5]
First-principles (GGA-PBE) data for Cu2HgB after structural relaxation, as listed in Alexandria via LeMat-Bulk.

Cell lengths 6.0028, 6.0028, 6.0028 Å; angles 90.00, 90.00, 90.00 degrees
Fractional coordinates of all 16 atoms:
Cu1 0.2500 0.2500 0.2500
Cu2 0.2500 0.2500 0.7500
Cu3 0.2500 0.7500 0.2500
Cu4 0.2500 0.7500 0.7500
Cu5 0.7500 0.2500 0.2500
Cu6 0.7500 0.2500 0.7500
Cu7 0.7500 0.7500 0.2500
Cu8 0.7500 0.7500 0.7500
Hg1 0.0000 0.0000 0.0000
Hg2 0.0000 0.5000 0.5000
Hg3 0.5000 0.0000 0.5000
Hg4 0.5000 0.5000 0.0000
B1 0.0000 0.0000 0.5000
B2 0.0000 0.5000 0.0000
B3 0.5000 0.0000 0.0000
B4 0.5000 0.5000 0.5000

**Uncorrected energy**: -46.77 eV per cell
**Crystal system**: cubic
**Density**: 10.4 g/cm³
**Total magnetization**: 0.00 Bohr magnetons per cell
**Energy of formation from the pure elements**: 0.870 eV/atom

---

[6]
First-principles (GGA-PBE) data for CuHgB3 after structural relaxation, as listed in Alexandria via LeMat-Bulk.

Cell lengths 4.0396, 4.0396, 4.0396 Å; angles 90.00, 90.00, 90.00 degrees
Fractional coordinates of all 5 atoms:
Cu1 0.0000 0.0000 0.0000
Hg1 0.5000 0.5000 0.5000
B1 0.0000 0.0000 0.5000
B2 0.0000 0.5000 0.0000
B3 0.5000 0.0000 0.0000

**Uncorrected energy**: -16.21 eV per cell
**Crystal system**: cubic
**Density**: 7.5 g/cm³
**Total magnetization**: 0.00 Bohr magnetons per cell
**Energy of formation from the pure elements**: 1.643 eV/atom

---

[7]
First-principles (GGA-PBE) data for Cu2HgB after structural relaxation, as listed in Alexandria via LeMat-Bulk.

Cell lengths 6.6465, 6.6465, 5.2134 Å; angles 90.00, 90.00, 90.00 degrees
Fractional coordinates of all 16 atoms:
Cu1 0.1488 0.2500 0.1250
Cu2 0.2500 0.6488 0.3750
Cu3 0.2500 0.8512 0.8750
Cu4 0.3512 0.2500 0.6250
Cu5 0.6488 0.7500 0.6250
Cu6 0.7500 0.1488 0.8750
Cu7 0.7500 0.3512 0.3750
Cu8 0.8512 0.7500 0.1250
Hg1 0.0000 0.0000 0.5000
Hg2 0.0000 0.5000 0.7500
Hg3 0.5000 0.0000 0.2500
Hg4 0.5000 0.5000 0.0000
B1 0.0000 0.0000 0.0000
B2 0.0000 0.5000 0.2500
B3 0.5000 0.0000 0.7500
B4 0.5000 0.5000 0.5000

**Uncorrected energy**: -51.01 eV per cell
**Crystal system**: tetragonal
**Density**: 9.8 g/cm³
**Total magnetization**: 0.00 Bohr magnetons per cell
**Energy of formation from the pure elements**: 0.605 eV/atom

---

[8]
First-principles (GGA-PBE) data for Nb2CuHgB after structural relaxation, as listed in Alexandria via LeMat-Bulk.

Cell lengths 5.2147, 5.2147, 3.9103 Å; angles 90.00, 90.00, 90.00 degrees
Fractional coordinates of all 5 atoms:
Nb1 0.0000 0.5000 0.0000
Nb2 0.5000 0.0000 0.0000
Cu1 0.0000 0.0000 0.5000
Hg1 0.5000 0.5000 0.0000
B1 0.5000 0.5000 0.5000

**Uncorrected energy**: -21.11 eV per cell
**Crystal system**: tetragonal
**Density**: 7.2 g/cm³
**Total magnetization**: 0.00 Bohr magnetons per cell
**Energy of formation from the pure elements**: 2.020 eV/atom

---

[9]
First-principles (GGA-PBE) data for CuNi2HgB after structural relaxation, as listed in Alexandria via LeMat-Bulk.

Cell lengths 4.7716, 4.7716, 4.7713 Å; angles 90.00, 90.00, 90.00 degrees
Fractional coordinates of all 5 atoms:
Cu1 0.0000 0.0000 0.0000
Ni1 0.0000 0.5000 0.5000
Ni2 0.5000 0.0000 0.5000
Hg1 0.0000 0.0000 0.5000
B1 0.5000 0.5000 0.0000

**Uncorrected energy**: -12.30 eV per cell
**Crystal system**: tetragonal
**Density**: 6.0 g/cm³
**Total magnetization**: 0.85 Bohr magnetons per cell
**Energy of formation from the pure elements**: 2.067 eV/atom

---

[10]
First-principles (GGA-PBE) data for CuHg2BO4 after structural relaxation, as listed in Alexandria via LeMat-Bulk.

Cell lengths 4.9250, 5.0913, 5.1863 Å; angles 114.30, 105.16, 105.99 degrees
Fractional coordinates of all 8 atoms:
Cu1 0.0000 0.0000 0.0000
Hg1 0.6315 0.1046 0.6469
Hg2 0.9026 0.5996 0.3543
B1 0.3306 0.5654 0.9371
O1 0.0962 0.4116 0.6135
O2 0.2827 0.8262 0.1588
O3 0.3132 0.3114 0.0141
O4 0.6682 0.6837 0.9760

**Uncorrected energy**: -38.21 eV per cell
**Raw formation energy**: -0.875 eV/atom
**Crystal system**: triclinic
**Density**: 8.7 g/cm³
**Total magnetization**: 0.00 Bohr magnetons per cell

---

[11]
First-principles (GGA-PBE) data for CuHgB2Os after structural relaxation, as listed in Alexandria via LeMat-Bulk.

Cell lengths 4.0573, 4.0573, 5.4045 Å; angles 90.00, 90.00, 90.00 degrees
Fractional coordinates of all 5 atoms:
Cu1 0.0000 0.0000 0.0000
Hg1 0.5000 0.5000 0.5000
B1 0.0000 0.5000 0.5000
B2 0.5000 0.0000 0.5000
Os1 0.5000 0.5000 0.0000

**Uncorrected energy**: -16.36 eV per cell
**Crystal system**: tetragonal
**Density**: 8.9 g/cm³
**Total magnetization**: 1.86 Bohr magnetons per cell
**Energy of formation from the pure elements**: 2.524 eV/atom

---

[12]
First-principles (GGA-PBE) data for Cu2HgBOs after structural relaxation, as listed in Alexandria via LeMat-Bulk.

Cell lengths 3.9897, 3.9897, 4.4418 Å; angles 90.00, 90.00, 90.00 degrees
Fractional coordinates of all 5 atoms:
Cu1 0.0000 0.5000 0.0000
Cu2 0.5000 0.0000 0.0000
Hg1 0.0000 0.0000 0.5000
B1 0.0000 0.0000 0.0000
Os1 0.5000 0.5000 0.5000

**Uncorrected energy**: -21.11 eV per cell
**Crystal system**: tetragonal
**Density**: 12.4 g/cm³
**Total magnetization**: 1.13 Bohr magnetons per cell
**Energy of formation from the pure elements**: 1.059 eV/atom

---

[13]
First-principles (GGA-PBE) data for CuHgBPd2 after structural relaxation, as listed in Alexandria via LeMat-Bulk.

Cell lengths 4.2262, 4.2262, 4.0963 Å; angles 90.00, 90.00, 90.00 degrees
Fractional coordinates of all 5 atoms:
Cu1 0.0000 0.0000 0.0000
Hg1 0.5000 0.5000 0.0000
B1 0.0000 0.0000 0.5000
Pd1 0.0000 0.5000 0.5000
Pd2 0.5000 0.0000 0.5000

**Uncorrected energy**: -21.61 eV per cell
**Crystal system**: tetragonal
**Density**: 11.1 g/cm³
**Total magnetization**: 0.00 Bohr magnetons per cell
**Energy of formation from the pure elements**: -0.029 eV/atom